# Tb3DyTm2Bi6

A relaxed Tb3DyTm2Bi6 crystal (GGA-PBE, Alexandria via LeMat-Bulk).

Values from the calculation:
As for the space group: No. 12. The calculation puts the formation energy at -0.843 eV per atom.

```
data_Tb3DyTm2Bi6
_symmetry_space_group_name_H-M 'P 1'
_symmetry_Int_Tables_number 1
_symmetry_space_group_name_Hall 'P 1'
_cell_length_a 4.466
_cell_length_b 8.934
_cell_length_c 9.985
_cell_angle_alpha 102.85
_cell_angle_beta 102.92
_cell_angle_gamma 90.00
loop_
_atom_site_label
_atom_site_type_symbol
_atom_site_fract_x
_atom_site_fract_y
_atom_site_fract_z
Tb1 Tb 0.500 0.500 0.000
Tb2 Tb 0.166 0.833 0.332
Tb3 Tb 0.834 0.167 0.668
Bi1 Bi 0.668 0.581 0.335
Bi2 Bi 0.667 0.086 0.333
Bi3 Bi 0.332 0.419 0.665
Bi4 Bi 0.001 0.250 0.002
Bi5 Bi 0.333 0.914 0.667
Bi6 Bi 0.999 0.750 0.998
Tm1 Tm 0.833 0.667 0.666
Tm2 Tm 0.167 0.333 0.334
Dy1 Dy 0.500 0.000 0.000
```

***

# TbDy2Tm3Bi6

A relaxed TbDy2Tm3Bi6 crystal (GGA-PBE, Alexandria via LeMat-Bulk).

Values from the calculation:
As for the space group: No. 12. The calculation puts the formation energy at -0.824 eV per atom.

```
data_TbDy2Tm3Bi6
_symmetry_space_group_name_H-M 'P 1'
_symmetry_Int_Tables_number 1
_symmetry_space_group_name_Hall 'P 1'
_cell_length_a 4.453
_cell_length_b 8.908
_cell_length_c 9.957
_cell_angle_alpha 102.84
_cell_angle_beta 102.92
_cell_angle_gamma 90.00
loop_
_atom_site_label
_atom_site_type_symbol
_atom_site_fract_x
_atom_site_fract_y
_atom_site_fract_z
Bi1 Bi 0.334 0.415 0.668
Bi2 Bi 0.668 0.081 0.335
Bi3 Bi 0.999 0.253 0.999
Bi4 Bi 0.332 0.919 0.665
Bi5 Bi 0.001 0.747 0.001
Bi6 Bi 0.666 0.585 0.332
Tm1 Tm 0.500 0.500 0.000
Tm2 Tm 0.833 0.167 0.667
Tm3 Tm 0.167 0.833 0.333
Tb1 Tb 0.500 0.000 0.000
Dy1 Dy 0.167 0.333 0.333
Dy2 Dy 0.833 0.667 0.667
```

***

# Tb3Dy2TmBi6

A relaxed Tb3Dy2TmBi6 crystal (GGA-PBE, Alexandria via LeMat-Bulk).

Values from the calculation:
As for the space group: No. 12. The calculation puts the formation energy at -0.856 eV per atom.

```
data_Tb3Dy2TmBi6
_symmetry_space_group_name_H-M 'P 1'
_symmetry_Int_Tables_number 1
_symmetry_space_group_name_Hall 'P 1'
_cell_length_a 4.473
_cell_length_b 8.948
_cell_length_c 10.000
_cell_angle_alpha 102.86
_cell_angle_beta 102.92
_cell_angle_gamma 90.00
loop_
_atom_site_label
_atom_site_type_symbol
_atom_site_fract_x
_atom_site_fract_y
_atom_site_fract_z
Bi1 Bi 0.000 0.247 0.000
Bi2 Bi 0.333 0.418 0.666
Bi3 Bi 0.335 0.917 0.669
Bi4 Bi 0.000 0.753 0.000
Bi5 Bi 0.665 0.083 0.331
Bi6 Bi 0.667 0.582 0.334
Tb1 Tb 0.500 0.500 0.000
Tb2 Tb 0.833 0.167 0.666
Tb3 Tb 0.167 0.833 0.334
Dy1 Dy 0.166 0.333 0.333
Dy2 Dy 0.834 0.667 0.667
Tm1 Tm 0.500 0.000 0.000
```

***

# Tb3Dy2YBi6

A relaxed Tb3Dy2YBi6 crystal (GGA-PBE, Alexandria via LeMat-Bulk).

Values from the calculation:
As for the space group: No. 12. The calculation puts the formation energy at -0.876 eV per atom.

```
data_Tb3Dy2YBi6
_symmetry_space_group_name_H-M 'P 1'
_symmetry_Int_Tables_number 1
_symmetry_space_group_name_Hall 'P 1'
_cell_length_a 4.485
_cell_length_b 8.972
_cell_length_c 10.029
_cell_angle_alpha 102.86
_cell_angle_beta 102.92
_cell_angle_gamma 90.00
loop_
_atom_site_label
_atom_site_type_symbol
_atom_site_fract_x
_atom_site_fract_y
_atom_site_fract_z
Bi1 Bi 0.000 0.750 0.999
Bi2 Bi 0.000 0.250 0.001
Bi3 Bi 0.333 0.916 0.667
Bi4 Bi 0.667 0.084 0.333
Bi5 Bi 0.333 0.417 0.666
Bi6 Bi 0.667 0.583 0.334
Tb1 Tb 0.500 0.500 0.000
Tb2 Tb 0.167 0.833 0.333
Tb3 Tb 0.833 0.167 0.667
Dy1 Dy 0.833 0.667 0.667
Dy2 Dy 0.167 0.333 0.333
Y1 Y 0.500 0.000 0.000
```

***

# Tb2DyY3Bi6

A relaxed Tb2DyY3Bi6 crystal (GGA-PBE, Alexandria via LeMat-Bulk).

Values from the calculation:
As for the space group: No. 12. The calculation puts the formation energy at -0.885 eV per atom.

```
data_Tb2DyY3Bi6
_symmetry_space_group_name_H-M 'P 1'
_symmetry_Int_Tables_number 1
_symmetry_space_group_name_Hall 'P 1'
_cell_length_a 7.771
_cell_length_b 7.771
_cell_length_c 7.764
_cell_angle_alpha 99.59
_cell_angle_beta 99.59
_cell_angle_gamma 120.00
loop_
_atom_site_label
_atom_site_type_symbol
_atom_site_fract_x
_atom_site_fract_y
_atom_site_fract_z
Bi1 Bi 0.584 0.917 0.750
Bi2 Bi 0.416 0.083 0.250
Bi3 Bi 0.917 0.584 0.750
Bi4 Bi 0.083 0.416 0.250
Bi5 Bi 0.249 0.249 0.750
Bi6 Bi 0.751 0.751 0.250
Dy1 Dy 0.000 0.000 0.000
Tb1 Tb 0.666 0.334 0.000
Tb2 Tb 0.334 0.666 0.000
Y1 Y 0.167 0.833 0.500
Y2 Y 0.500 0.500 0.500
Y3 Y 0.833 0.167 0.500
```

***

# TbDyY2Bi5

A relaxed TbDyY2Bi5 crystal (GGA-PBE, Alexandria via LeMat-Bulk).

Values from the calculation:
As for the space group: No. 123. The calculation puts the formation energy at 0.024 eV per atom.

```
data_TbDyY2Bi5
_symmetry_space_group_name_H-M 'P 1'
_symmetry_Int_Tables_number 1
_symmetry_space_group_name_Hall 'P 1'
_cell_length_a 5.435
_cell_length_b 5.435
_cell_length_c 11.871
_cell_angle_alpha 90.00
_cell_angle_beta 90.00
_cell_angle_gamma 90.00
loop_
_atom_site_label
_atom_site_type_symbol
_atom_site_fract_x
_atom_site_fract_y
_atom_site_fract_z
Y1 Y 0.500 0.500 0.269
Y2 Y 0.500 0.500 0.731
Dy1 Dy 0.000 0.000 0.000
Tb1 Tb 0.000 0.000 0.500
Bi1 Bi 0.500 0.000 0.500
Bi2 Bi 0.000 0.000 0.755
Bi3 Bi 0.000 0.500 0.500
Bi4 Bi 0.500 0.500 0.000
Bi5 Bi 0.000 0.000 0.245
```

***

# TbDy3Y2Bi6

A relaxed TbDy3Y2Bi6 crystal (GGA-PBE, Alexandria via LeMat-Bulk).

Values from the calculation:
As for the space group: No. 12. The calculation puts the formation energy at -0.876 eV per atom.

```
data_TbDy3Y2Bi6
_symmetry_space_group_name_H-M 'P 1'
_symmetry_Int_Tables_number 1
_symmetry_space_group_name_Hall 'P 1'
_cell_length_a 4.480
_cell_length_b 8.963
_cell_length_c 10.018
_cell_angle_alpha 102.86
_cell_angle_beta 102.92
_cell_angle_gamma 90.00
loop_
_atom_site_label
_atom_site_type_symbol
_atom_site_fract_x
_atom_site_fract_y
_atom_site_fract_z
Y1 Y 0.167 0.333 0.333
Y2 Y 0.833 0.667 0.667
Dy1 Dy 0.833 0.167 0.667
Dy2 Dy 0.167 0.833 0.333
Dy3 Dy 0.500 0.500 0.000
Tb1 Tb 0.500 0.000 0.000
Bi1 Bi 0.667 0.584 0.333
Bi2 Bi 0.000 0.749 0.000
Bi3 Bi 0.000 0.251 0.000
Bi4 Bi 0.667 0.083 0.334
Bi5 Bi 0.333 0.416 0.667
Bi6 Bi 0.333 0.917 0.666
```

***

# Tb2DyYBi5

A relaxed Tb2DyYBi5 crystal (GGA-PBE, Alexandria via LeMat-Bulk).

Values from the calculation:
As for the space group: No. 123. The calculation puts the formation energy at 0.001 eV per atom.

```
data_Tb2DyYBi5
_symmetry_space_group_name_H-M 'P 1'
_symmetry_Int_Tables_number 1
_symmetry_space_group_name_Hall 'P 1'
_cell_length_a 5.417
_cell_length_b 5.417
_cell_length_c 11.867
_cell_angle_alpha 90.00
_cell_angle_beta 90.00
_cell_angle_gamma 90.00
loop_
_atom_site_label
_atom_site_type_symbol
_atom_site_fract_x
_atom_site_fract_y
_atom_site_fract_z
Bi1 Bi 0.500 0.500 0.000
Bi2 Bi 0.000 0.500 0.500
Bi3 Bi 0.500 0.000 0.500
Bi4 Bi 0.000 0.000 0.246
Bi5 Bi 0.000 0.000 0.754
Tb1 Tb 0.500 0.500 0.269
Tb2 Tb 0.500 0.500 0.731
Dy1 Dy 0.000 0.000 0.500
Y1 Y 0.000 0.000 0.000
```

***

# TbDy2YBi5

A relaxed TbDy2YBi5 crystal (GGA-PBE, Alexandria via LeMat-Bulk).

Values from the calculation:
As for the space group: No. 123. The calculation puts the formation energy at 0.037 eV per atom.

```
data_TbDy2YBi5
_symmetry_space_group_name_H-M 'P 1'
_symmetry_Int_Tables_number 1
_symmetry_space_group_name_Hall 'P 1'
_cell_length_a 5.435
_cell_length_b 5.435
_cell_length_c 11.861
_cell_angle_alpha 90.00
_cell_angle_beta 90.00
_cell_angle_gamma 90.00
loop_
_atom_site_label
_atom_site_type_symbol
_atom_site_fract_x
_atom_site_fract_y
_atom_site_fract_z
Tb1 Tb 0.000 0.000 0.500
Dy1 Dy 0.500 0.500 0.269
Dy2 Dy 0.500 0.500 0.731
Y1 Y 0.000 0.000 0.000
Bi1 Bi 0.000 0.000 0.755
Bi2 Bi 0.000 0.500 0.500
Bi3 Bi 0.500 0.000 0.500
Bi4 Bi 0.000 0.000 0.245
Bi5 Bi 0.500 0.500 0.000
```

***

# Dy4TcBi

A relaxed Dy4TcBi crystal (GGA-PBE, Alexandria via LeMat-Bulk).

Values from the calculation:
As for the space group: No. 15. The calculation puts the formation energy at -0.380 eV per atom.

```
data_Dy4TcBi
_symmetry_space_group_name_H-M 'P 1'
_symmetry_Int_Tables_number 1
_symmetry_space_group_name_Hall 'P 1'
_cell_length_a 6.221
_cell_length_b 8.712
_cell_length_c 8.094
_cell_angle_alpha 114.56
_cell_angle_beta 102.29
_cell_angle_gamma 108.58
loop_
_atom_site_label
_atom_site_type_symbol
_atom_site_fract_x
_atom_site_fract_y
_atom_site_fract_z
Tc1 Tc 0.749 0.999 0.998
Tc2 Tc 0.251 0.001 0.002
Dy1 Dy 0.212 0.275 0.333
Dy2 Dy 0.698 0.345 0.142
Dy3 Dy 0.944 0.797 0.142
Dy4 Dy 0.056 0.203 0.858
Dy5 Dy 0.302 0.655 0.858
Dy6 Dy 0.379 0.942 0.667
Dy7 Dy 0.788 0.725 0.667
Dy8 Dy 0.621 0.058 0.333
Bi1 Bi 0.377 0.627 0.255
Bi2 Bi 0.623 0.373 0.745
```

***

# Dy8TcBi2

A relaxed Dy8TcBi2 crystal (GGA-PBE, Alexandria via LeMat-Bulk).

Values from the calculation:
As for the space group: No. 12. The calculation puts the formation energy at -0.254 eV per atom.

```
data_Dy8TcBi2
_symmetry_space_group_name_H-M 'P 1'
_symmetry_Int_Tables_number 1
_symmetry_space_group_name_Hall 'P 1'
_cell_length_a 5.392
_cell_length_b 6.964
_cell_length_c 9.789
_cell_angle_alpha 115.02
_cell_angle_beta 105.99
_cell_angle_gamma 90.00
loop_
_atom_site_label
_atom_site_type_symbol
_atom_site_fract_x
_atom_site_fract_y
_atom_site_fract_z
Dy1 Dy 0.798 0.701 0.596
Dy2 Dy 0.641 0.967 0.282
Dy3 Dy 0.991 0.218 0.983
Dy4 Dy 0.359 0.033 0.718
Dy5 Dy 0.407 0.573 0.815
Dy6 Dy 0.593 0.427 0.185
Dy7 Dy 0.202 0.299 0.404
Dy8 Dy 0.009 0.782 0.017
Bi1 Bi 0.169 0.722 0.339
Bi2 Bi 0.831 0.278 0.661
Tc1 Tc 0.500 0.000 0.000
```

***

# Dy6TcBi2

A relaxed Dy6TcBi2 crystal (GGA-PBE, Alexandria via LeMat-Bulk).

Values from the calculation:
As for the space group: No. 189. The calculation puts the formation energy at -0.485 eV per atom.

```
data_Dy6TcBi2
_symmetry_space_group_name_H-M 'P 1'
_symmetry_Int_Tables_number 1
_symmetry_space_group_name_Hall 'P 1'
_cell_length_a 4.289
_cell_length_b 8.317
_cell_length_c 8.317
_cell_angle_alpha 120.00
_cell_angle_beta 90.00
_cell_angle_gamma 90.00
loop_
_atom_site_label
_atom_site_type_symbol
_atom_site_fract_x
_atom_site_fract_y
_atom_site_fract_z
Dy1 Dy 0.000 0.767 0.767
Dy2 Dy 0.500 0.392 0.392
Dy3 Dy 0.000 0.000 0.233
Dy4 Dy 0.500 0.000 0.608
Dy5 Dy 0.500 0.608 0.000
Dy6 Dy 0.000 0.233 0.000
Bi1 Bi 0.000 0.667 0.333
Bi2 Bi 0.000 0.333 0.667
Tc1 Tc 0.500 0.000 0.000
```